(1)
Material: Ag2SbW
Method: DFT, PBE
State: optimized geometry

```
4
Lattice="5.018 0.000 -0.012 4.165 2.800 -0.012 0.811 0.247 5.373" Properties=species:S:1:pos:R:3 pbc="T T T"
Ag 2.537 0.774 1.143
Sb 4.955 1.511 2.871
Ag 0.069 0.021 0.101
W 7.430 2.265 3.908
```

Properties
M_tot: 0.000 Bohr magnetons per cell
Symmetry: Cm (8)

=====

(2)
Material: Ag4SbW
Method: DFT, PBE
State: optimized geometry

```
6
Lattice="0.000 3.886 3.886 3.886 0.000 3.886 3.886 3.886 0.000" Properties=species:S:1:pos:R:3 pbc="T T T"
Sb 5.830 5.830 5.830
Ag 4.862 2.911 4.862
Ag 2.911 2.911 2.911
Ag 2.911 4.862 4.862
W 0.000 0.000 0.000
Ag 4.862 4.862 2.911
```

Properties
M_tot: 3.203 Bohr magnetons per cell
Symmetry: F-43m (216)

=====

(3)
Material: AgSb2W
Method: DFT, PBE
State: optimized geometry

```
4
Lattice="3.603 0.000 0.000 0.000 3.603 0.000 0.000 0.000 7.143" Properties=species:S:1:pos:R:3 pbc="T T T"
W 0.000 0.000 3.702
Sb 1.802 1.802 2.409
Sb 0.000 0.000 6.493
Ag 1.802 1.802 5.253
```

Properties
M_tot: 0.000 Bohr magnetons per cell
Symmetry: P4mm (99)
Energy relative to the lowest polymorph listed for this composition: 0.81 eV per formula unit

=====

(4)
Material: AgSb2W
Method: DFT, PBE
State: optimized geometry

```
4
Lattice="-3.734 3.186 -0.391 -3.051 -0.245 -3.856 -4.632 -1.549 0.620" Properties=species:S:1:pos:R:3 pbc="T T T"
Ag -5.709 0.696 -1.814
Sb 0.000 0.000 0.000
Sb -2.854 0.348 -0.907
W -8.563 1.044 -2.720
```

Properties
M_tot: 0.736 Bohr magnetons per cell
Symmetry: F-43m (216)
Energy relative to the lowest polymorph listed for this composition: 2.48 eV per formula unit

=====

| no. | formation energy (no corrections) (eV/atom) | Fermi-level density of states (states/eV/cell) |
| --- | --- | --- |
| 1 | 0.58 | 2.22 |
| 2 | 0.75 | 2.31 |
| 3 | 0.55 | 3.02 |
| 4 | 0.97 | 3.25 |